Below is crystalline Ca3Tb2Pr6 at its relaxed geometry, with properties calculated at the PBE level.

volume	400.3	Å³ per cell
space group	R-3m
energy	-43.48	eV for the cell shown

Cell: 33.833 33.833 33.833 Å, 6.27 6.27 6.27°
Fractional positions:
Ca1 0.000 0.000 0.000
Ca2 0.271 0.271 0.271
Ca3 0.729 0.729 0.729
Tb1 0.456 0.456 0.456
Tb2 0.544 0.544 0.544
Pr1 0.094 0.094 0.094
Pr2 0.182 0.182 0.182
Pr3 0.364 0.364 0.364
Pr4 0.636 0.636 0.636
Pr5 0.818 0.818 0.818
Pr6 0.906 0.906 0.906